Below is a relaxed structure of SnBiAuN, with properties calculated at the PBE-GGA level.

```
8
Lattice="8.346 0.000 -0.078 0.000 3.427 0.000 -1.167 0.000 6.087" Properties=species:S:1:pos:R:3 pbc="T T T"
Sn 5.535 1.714 1.399
Au -0.038 0.000 3.194
Bi 2.323 1.714 2.364
Bi 1.740 0.000 5.408
N 5.619 1.714 5.647
N 6.202 0.000 2.603
Sn 4.951 0.000 4.443
Au 0.545 1.714 0.150
```

Summary:
raw formation energy	288	meV/atom
total energy	-4.58	eV per atom
space-group type	Cm (8)
ΔE to the lowest computed polymorph	44.3	meV/atom